[1]
The following is a PBE-GGA calculation of a relaxed NbGePd crystal, from Alexandria via LeMat-Bulk.

Computed properties:
E_form	-1.4	eV/f.u.
total magnetization	0.000	μB per formula unit

Unit cell a=3.8511 b=6.6702 c=11.3814 alpha=89.17 beta=90.00 gamma=90.00
Last column: nearest neighbours and their distance in Å.
Sites, in units of the cell vectors:
Nb: 0.7500 0.5305 0.3939  5 Ge 2.75-2.86, 3 Pd 2.97-3.02
Nb: 0.2500 0.9667 0.7115  5 Ge 2.73-2.80, 5 Pd 2.98-3.00
Nb: 0.7500 0.0333 0.2885  5 Ge 2.73-2.80, 5 Pd 2.98-3.00
Nb: 0.7500 0.6592 0.0805  5 Ge 2.71-2.78, 5 Pd 2.96-3.00
Nb: 0.2500 0.4695 0.6061  5 Ge 2.75-2.86, 3 Pd 2.97-3.02
Nb: 0.2500 0.3408 0.9195  5 Ge 2.71-2.78, 5 Pd 2.96-3.00
Ge: 0.2500 0.7475 0.9166  5 Pd 2.51-2.59, 4 Nb 2.71-2.74
Ge: 0.7500 0.2636 0.7498  3 Pd 2.45-2.51
Ge: 0.7500 0.7629 0.5923  4 Pd 2.51-2.64, 5 Nb 2.73-2.76
Ge: 0.7500 0.2525 0.0834  5 Pd 2.51-2.59, 4 Nb 2.71-2.74
Ge: 0.2500 0.2371 0.4077  4 Pd 2.51-2.64, 5 Nb 2.73-2.76
Ge: 0.2500 0.7364 0.2502  3 Pd 2.45-2.51
Pd: 0.2500 0.9961 0.0888  4 Ge 2.51-2.59, 2 Pd 2.79
Pd: 0.2500 0.8491 0.4578  4 Ge 2.49-2.64
Pd: 0.7500 0.6206 0.7980  4 Ge 2.45-2.51
Pd: 0.7500 0.1509 0.5422  4 Ge 2.49-2.64
Pd: 0.2500 0.3794 0.2020  4 Ge 2.45-2.51
Pd: 0.7500 0.0039 0.9112  4 Ge 2.51-2.59, 2 Pd 2.79

[2]
The following is a PBE-GGA calculation of a relaxed NbGePd crystal, from Alexandria via LeMat-Bulk.

Computed properties:
E_form	-1.1	eV/f.u.
total magnetization	0.000	μB per formula unit

Unit cell a=7.2066 b=2.8918 c=10.3798 alpha=90.00 beta=115.35 gamma=90.00
Last column: nearest neighbours and their distance in Å.
Sites, in units of the cell vectors:
Nb: 0.3308 0.0000 0.0791  5 Ge 2.74-2.83, 2 Nb 2.89, 4 Pd 2.90-2.95
Nb: 0.6692 0.0000 0.9209  5 Ge 2.74-2.83, 2 Nb 2.89, 4 Pd 2.90-2.95
Nb: 0.3308 0.5000 0.5791  5 Ge 2.74-2.83, 2 Nb 2.89, 4 Pd 2.90-2.95
Nb: 0.6692 0.5000 0.4209  5 Ge 2.74-2.83, 2 Nb 2.89, 4 Pd 2.90-2.95
Ge: 0.6868 0.0000 0.6602  3 Pd 2.56-2.68, 5 Nb 2.74-2.83
Ge: 0.3132 0.0000 0.3398  3 Pd 2.56-2.68, 5 Nb 2.74-2.83
Ge: 0.6868 0.5000 0.1602  3 Pd 2.56-2.68, 5 Nb 2.74-2.83
Ge: 0.3132 0.5000 0.8398  3 Pd 2.56-2.68, 5 Nb 2.74-2.83
Pd: 0.0243 0.0000 0.6346  3 Ge 2.56-2.68, 1 Pd 2.66
Pd: 0.9757 0.0000 0.3654  3 Ge 2.56-2.68, 1 Pd 2.66
Pd: 0.0243 0.5000 0.1346  3 Ge 2.56-2.68, 1 Pd 2.66
Pd: 0.9757 0.5000 0.8654  3 Ge 2.56-2.68, 1 Pd 2.66

[3]
The following is a PBE-GGA calculation of a relaxed NbGePd5 crystal, from Alexandria via LeMat-Bulk.

Computed properties:
E_form	-1.3	eV/f.u.
total magnetization	0.000	μB per formula unit

Unit cell a=7.7491 b=7.7491 c=7.0602 alpha=50.15 beta=50.15 gamma=78.51
Last column: nearest neighbours and their distance in Å.
Sites, in units of the cell vectors:
Nb: 0.5513 0.4487 0.2500  9 Pd 2.62-2.85
Nb: 0.4487 0.5513 0.7500  9 Pd 2.62-2.85
Ge: 0.0000 0.0000 0.0000  6 Pd 2.50-2.56
Ge: 0.0000 0.0000 0.5000  6 Pd 2.50-2.56
Pd: 0.6732 0.8722 0.0651  2 Ge 2.51-2.56, 2 Pd 2.70-2.76, 1 Nb 2.74
Pd: 0.2076 0.5441 0.6004  2 Nb 2.62-2.69, 5 Pd 2.68-2.91
Pd: 0.8722 0.6732 0.5651  2 Ge 2.51-2.56, 2 Pd 2.70-2.76, 1 Nb 2.74
Pd: 0.8191 0.1809 0.2500  2 Ge 2.50, 1 Nb 2.63, 2 Pd 2.68
Pd: 0.4559 0.7924 0.8996  2 Nb 2.62-2.69, 5 Pd 2.68-2.91
Pd: 0.5441 0.2076 0.1004  2 Nb 2.62-2.69, 5 Pd 2.68-2.91
Pd: 0.1809 0.8191 0.7500  2 Ge 2.50, 1 Nb 2.63, 2 Pd 2.68
Pd: 0.1278 0.3268 0.4349  2 Ge 2.51-2.56, 2 Pd 2.70-2.76, 1 Nb 2.74
Pd: 0.7924 0.4559 0.3996  2 Nb 2.62-2.69, 5 Pd 2.68-2.91
Pd: 0.3268 0.1278 0.9349  2 Ge 2.51-2.56, 2 Pd 2.70-2.76, 1 Nb 2.74

[4]
The following is a PBE-GGA calculation of a relaxed NbGePd crystal, from Alexandria via LeMat-Bulk.

Computed properties:
E_form	-1.0	eV/f.u.
total magnetization	0.000	μB per formula unit

Unit cell a=2.9319 b=4.8309 c=7.2231 alpha=104.39 beta=101.64 gamma=89.79
Last column: nearest neighbours and their distance in Å.
Sites, in units of the cell vectors:
Nb: 0.0732 0.3001 0.6427  6 Ge 2.77-2.91, 3 Pd 2.89-2.96, 3 Nb 2.93-3.09
Nb: 0.9268 0.6999 0.3573  6 Ge 2.77-2.91, 3 Pd 2.89-2.96, 3 Nb 2.93-3.09
Ge: 0.4000 0.1887 0.2983  3 Pd 2.52-2.74, 4 Nb 2.77-2.81
Ge: 0.6000 0.8113 0.7017  3 Pd 2.52-2.74, 4 Nb 2.77-2.81
Pd: 0.7429 0.2517 0.9845  3 Ge 2.52-2.74, 2 Pd 2.77-2.78
Pd: 0.2571 0.7483 0.0155  3 Ge 2.52-2.74, 2 Pd 2.77-2.78

[5]
The following is a PBE-GGA calculation of a relaxed NbGe2Pd crystal, from Alexandria via LeMat-Bulk.

Computed properties:
E_form	-0.6	eV/f.u.
total magnetization	0.000	μB per formula unit

Unit cell a=4.5094 b=4.5094 c=4.5094 alpha=60.00 beta=60.00 gamma=60.00
Last column: nearest neighbours and their distance in Å.
Sites, in units of the cell vectors:
Nb: 0.0000 0.0000 0.0000  8 Ge 2.76
Ge: 0.2500 0.2500 0.2500  4 Nb 2.76, 4 Pd 2.76
Ge: 0.7500 0.7500 0.7500  4 Pd 2.76, 4 Nb 2.76
Pd: 0.5000 0.5000 0.5000  8 Ge 2.76

[6]
The following is a PBE-GGA calculation of a relaxed Nb2GePd2 crystal, from Alexandria via LeMat-Bulk.

Computed properties:
energy above the most stable polymorph in this dataset	0.038	eV per atom
E_form	0.0	eV/f.u.
total magnetization	0.000	μB per formula unit

Unit cell a=7.6134 b=7.6134 c=3.0789 alpha=90.00 beta=90.00 gamma=90.00
Last column: nearest neighbours and their distance in Å.
Sites, in units of the cell vectors:
Nb: 0.3288 0.8288 0.0000  6 Pd 2.67-2.76, 2 Ge 2.82
Nb: 0.8288 0.6712 0.0000  6 Pd 2.67-2.76, 2 Ge 2.82
Nb: 0.6712 0.1712 0.0000  6 Pd 2.67-2.76, 2 Ge 2.82
Nb: 0.1712 0.3288 0.0000  6 Pd 2.67-2.76, 2 Ge 2.82
Ge: 0.0000 0.0000 0.0000  4 Nb 2.82, 2 Ge 3.08
Ge: 0.5000 0.5000 0.0000  4 Nb 2.82, 2 Ge 3.08
Pd: 0.1260 0.6260 0.5000  6 Nb 2.67-2.76, 1 Pd 2.71
Pd: 0.6260 0.8740 0.5000  6 Nb 2.67-2.76, 1 Pd 2.71
Pd: 0.8740 0.3740 0.5000  6 Nb 2.67-2.76, 1 Pd 2.71
Pd: 0.3740 0.1260 0.5000  6 Nb 2.67-2.76, 1 Pd 2.71

[7]
The following is a PBE-GGA calculation of a relaxed NbGePd crystal, from Alexandria via LeMat-Bulk.

Computed properties:
E_form	-1.1	eV/f.u.
total magnetization	0.000	μB per formula unit

Unit cell a=2.9186 b=14.3194 c=4.6868 alpha=90.00 beta=90.00 gamma=90.00
Last column: nearest neighbours and their distance in Å.
Sites, in units of the cell vectors:
Nb: 0.0000 0.8238 0.6854  5 Ge 2.65-2.81, 2 Nb 2.92
Nb: 0.0000 0.1762 0.6854  5 Ge 2.65-2.81, 2 Nb 2.92
Nb: 0.5000 0.3238 0.1854  5 Ge 2.65-2.81, 2 Nb 2.92
Nb: 0.5000 0.6762 0.1854  5 Ge 2.65-2.81, 2 Nb 2.92
Ge: 0.0000 0.6390 0.6860  3 Pd 2.58-2.59, 5 Nb 2.65-2.81
Ge: 0.0000 0.3610 0.6860  3 Pd 2.58-2.59, 5 Nb 2.65-2.81
Ge: 0.5000 0.1390 0.1860  3 Pd 2.58-2.59, 5 Nb 2.65-2.81
Ge: 0.5000 0.8610 0.1860  3 Pd 2.58-2.59, 5 Nb 2.65-2.81
Pd: 0.0000 0.5000 0.3371  2 Ge 2.58, 4 Pd 2.70-2.82
Pd: 0.5000 0.0000 0.8371  2 Ge 2.58, 4 Pd 2.70-2.82
Pd: 0.0000 0.0000 0.3515  4 Ge 2.59, 4 Pd 2.70-2.82
Pd: 0.5000 0.5000 0.8515  4 Ge 2.59, 4 Pd 2.70-2.82

[8]
The following is a PBE-GGA calculation of a relaxed NbGePd crystal, from Alexandria via LeMat-Bulk.

Computed properties:
E_form	-1.2	eV/f.u.
total magnetization	0.000	μB per formula unit

Unit cell a=2.9352 b=4.3677 c=4.3677 alpha=120.00 beta=90.00 gamma=90.00
Last column: nearest neighbours and their distance in Å.
Sites, in units of the cell vectors:
Nb: 0.6666 0.3333 0.6667  6 Pd 2.92, 6 Ge 2.92, 2 Nb 2.94
Ge: 0.1663 0.0000 0.0000  3 Pd 2.52
Pd: 0.1672 0.6667 0.3333  3 Ge 2.52

[9]
The following is a PBE-GGA calculation of a relaxed NbGePd2 crystal, from Alexandria via LeMat-Bulk.

Computed properties:
E_form	-0.5	eV/f.u.
total magnetization	0.000	μB per formula unit

Unit cell a=3.8478 b=3.8478 c=9.6430 alpha=78.49 beta=78.49 gamma=90.00
Last column: nearest neighbours and their distance in Å.
Sites, in units of the cell vectors:
Nb: 0.0000 0.0000 0.0000  4 Pd 2.69, 4 Ge 2.72
Nb: 0.7500 0.2500 0.5000  4 Pd 2.69, 4 Ge 2.72
Ge: 0.5000 0.5000 0.0000  4 Pd 2.67, 4 Nb 2.72
Ge: 0.2500 0.7500 0.5000  4 Pd 2.67, 4 Nb 2.72
Pd: 0.6183 0.1250 0.2500  2 Ge 2.67, 4 Pd 2.68-2.76, 2 Nb 2.69
Pd: 0.1317 0.6250 0.2500  2 Ge 2.67, 4 Pd 2.68-2.76, 2 Nb 2.69
Pd: 0.3750 0.3817 0.7500  2 Ge 2.67, 4 Pd 2.68-2.76, 2 Nb 2.69
Pd: 0.8750 0.8683 0.7500  2 Ge 2.67, 4 Pd 2.68-2.76, 2 Nb 2.69

[10]
The following is a PBE-GGA calculation of a relaxed NbGe2Pd crystal, from Alexandria via LeMat-Bulk.

Computed properties:
E_form	-0.1	eV/f.u.
total magnetization	0.000	μB per formula unit

Unit cell a=6.9159 b=6.9159 c=5.7207 alpha=52.81 beta=52.81 gamma=90.00
Last column: nearest neighbours and their distance in Å.
Sites, in units of the cell vectors:
Nb: 0.5000 0.5000 0.0000  4 Ge 2.66, 2 Pd 2.97
Nb: 0.2500 0.7500 0.5000  4 Ge 2.66, 2 Pd 2.97
Ge: 0.6471 0.1250 0.2500  2 Pd 2.45, 2 Nb 2.66
Ge: 0.1029 0.6250 0.2500  2 Pd 2.45, 2 Nb 2.66
Ge: 0.3750 0.3529 0.7500  2 Pd 2.45, 2 Nb 2.66
Ge: 0.8750 0.8971 0.7500  2 Pd 2.45, 2 Nb 2.66
Pd: 0.0000 0.0000 0.0000  4 Ge 2.45
Pd: 0.7500 0.2500 0.5000  4 Ge 2.45

[11]
The following is a PBE-GGA calculation of a relaxed RbNb2GePd crystal, from Alexandria via LeMat-Bulk.

Computed properties:
E_form	5.1	eV/f.u.
total magnetization	3.968	μB per formula unit

Unit cell a=5.0507 b=4.9374 c=5.0507 alpha=90.00 beta=90.00 gamma=90.00
Last column: nearest neighbours and their distance in Å.
Sites, in units of the cell vectors:
Nb: 0.0000 0.0000 0.5000  2 Ge 2.53
Nb: 0.5000 0.0000 0.0000  2 Ge 2.53
Ge: 0.0000 0.0000 0.0000  2 Pd 2.47, 4 Nb 2.53
Rb: 0.5000 0.5000 0.5000  8 Nb 3.53, 4 Pd 3.57
Pd: 0.0000 0.5000 0.0000  2 Ge 2.47

[12]
The following is a PBE-GGA calculation of a relaxed NbGePdS2 crystal, from Alexandria via LeMat-Bulk.

Computed properties:
total magnetization	2.660	μB per formula unit
raw total energy	-24.6	eV per cell

Unit cell a=4.7032 b=4.6151 c=4.7032 alpha=90.00 beta=90.00 gamma=90.00
Last column: nearest neighbours and their distance in Å.
Sites, in units of the cell vectors:
S: 0.0000 0.0000 0.5000  2 Ge 2.35
S: 0.5000 0.0000 0.0000  2 Ge 2.35
Nb: 0.5000 0.5000 0.5000  8 S 3.29, 4 Pd 3.33
Ge: 0.0000 0.0000 0.0000  2 Pd 2.31, 4 S 2.35
Pd: 0.0000 0.5000 0.0000  2 Ge 2.31